Entry 1:
A relaxed LiTa2Hg crystal, computed with PBE-GGA.

Structure (extended XYZ):
```
4
Lattice="2.798 -0.005 0.000 -1.005 2.611 0.000 0.000 0.000 10.367" Properties=species:S:1:pos:R:3 pbc="T T T"
Hg 0.896 1.303 2.592
Li 0.896 1.303 7.775
Ta 0.000 0.000 10.355
Ta 0.000 0.000 5.195
```

Values from the calculation:
* energy relative to the elements: 509 meV per atom
* calculated density: 12.5 Mg/m³
* electronic total energy: -5.971 eV per atom
* crystal system: orthorhombic
* DOS(E_F): 3.3 states/eV/cell

Entry 2:
A relaxed LiTaHg crystal, computed with PBE-GGA.

Structure (extended XYZ):
```
6
Lattice="-2.346 2.384 -1.871 -1.565 -2.979 -1.834 -5.161 -0.712 5.562" Properties=species:S:1:pos:R:3 pbc="T T T"
Li -2.115 -1.673 0.519
Li -5.002 0.664 3.191
Hg -2.580 -0.356 2.781
Hg -4.536 -0.653 0.929
Ta -5.522 -2.143 4.191
Ta -1.594 1.134 -0.481
```

Values from the calculation:
* energy relative to the elements: 499 meV per atom
* calculated density: 11.5 Mg/m³
* electronic total energy: -4.191 eV per atom
* crystal system: tetragonal
* DOS(E_F): 2.1 states/eV/cell

Entry 3:
A relaxed LiTaHg2 crystal, computed with PBE-GGA.

Structure (extended XYZ):
```
4
Lattice="-0.321 -9.914 0.255 2.549 -9.523 1.121 0.324 -9.399 3.163" Properties=species:S:1:pos:R:3 pbc="T T T"
Hg 2.544 -28.736 4.522
Hg 1.285 -14.518 2.285
Li 0.638 -7.209 1.135
Ta 1.914 -21.627 3.404
```

Values from the calculation:
* energy relative to the elements: 163 meV per atom
* calculated density: 12.7 Mg/m³
* electronic total energy: -3.430 eV per atom
* crystal system: trigonal
* DOS(E_F): 3.8 states/eV/cell

Entry 4:
A relaxed LiTaHg crystal, computed with PBE-GGA.

Structure (extended XYZ):
```
3
Lattice="-0.658 3.261 -5.506 -4.426 2.237 -4.099 2.456 -0.970 5.867" Properties=species:S:1:pos:R:3 pbc="T T T"
Hg -5.020 5.429 -9.485
Li -1.731 1.872 -3.270
Ta -3.416 3.695 -6.455
```

Values from the calculation:
* energy relative to the elements: 301 meV per atom
* calculated density: 12.3 Mg/m³
* electronic total energy: -4.388 eV per atom
* crystal system: tetragonal
* DOS(E_F): 2.4 states/eV/cell

Entry 5:
A relaxed LiTa2Hg crystal, computed with PBE-GGA.

Structure (extended XYZ):
```
4
Lattice="-4.226 1.975 -9.487 -6.646 1.122 -8.145 -5.781 3.879 -7.956" Properties=species:S:1:pos:R:3 pbc="T T T"
Hg -4.163 1.744 -6.397
Li -12.489 5.232 -19.191
Ta -16.652 6.976 -25.587
Ta -8.327 3.489 -12.795
```

Values from the calculation:
* energy relative to the elements: 450 meV per atom
* calculated density: 12.5 Mg/m³
* electronic total energy: -6.030 eV per atom
* crystal system: trigonal
* DOS(E_F): 3.6 states/eV/cell

Entry 6:
A relaxed LiTa2Hg crystal, computed with PBE-GGA.

Structure (extended XYZ):
```
8
Lattice="-3.653 -5.278 -4.023 1.926 -5.238 5.122 -3.044 -4.761 1.877" Properties=species:S:1:pos:R:3 pbc="T T T"
Li -0.864 -5.258 0.549
Li -0.990 -7.629 3.775
Hg 0.000 0.000 0.000
Hg -3.780 -7.648 -0.798
Ta -2.773 -5.100 -1.372
Ta -0.044 -5.167 3.135
Ta -2.914 -7.558 1.862
Ta -3.810 -12.729 2.327
```

Values from the calculation:
* energy relative to the elements: 809 meV per atom
* calculated density: 12.7 Mg/m³
* electronic total energy: -5.671 eV per atom
* crystal system: tetragonal
* DOS(E_F): 5.0 states/eV/cell